(1)
A geometry-optimized TaHg2Os structure, computed with PBE-GGA.

a b c (Å): 2.9863 2.9863 9.9372
angles (deg): 90.00 90.00 116.96
Fractional positions:
Hg (0.0000, 0.0000, 0.9856)
Hg (0.5000, 0.5000, 0.2671)
Os (0.0000, 0.0000, 0.5244)
Ta (0.5000, 0.5000, 0.7230)

Values from the calculation:
For the density of states at the Fermi level, the calculation gives 2.55 states/eV/cell. For the energy relative to the elements, the calculation gives 150 kJ/mol of formula units. As for the polymorph energy (0 for the lowest one): 58 kJ/mol of formula units. For the total moment, the calculation gives 0.0 μB per formula unit. As for the symmetry: Cmm2, No. 35.

(2)
A geometry-optimized SnRuPt2 structure, computed with PBE-GGA.

a b c (Å): 3.8745 3.8745 9.9267
angles (deg): 78.75 78.75 90.00
Fractional positions:
Ru (0.5000, 0.5000, 0.0000)
Ru (0.2500, 0.7500, 0.5000)
Sn (0.0000, 0.0000, 0.0000)
Sn (0.7500, 0.2500, 0.5000)
Pt (0.6126, 0.1250, 0.2500)
Pt (0.1374, 0.6250, 0.2500)
Pt (0.3750, 0.3874, 0.7500)
Pt (0.8750, 0.8626, 0.7500)

Values from the calculation:
For the density of states at the Fermi level, the calculation gives 10.89 states/eV/cell. For the energy relative to the elements, the calculation gives 62 kJ/mol of formula units. For the total moment, the calculation gives 0.0 μB per formula unit. As for the symmetry: I-42d, No. 122.

(3)
A geometry-optimized La2CoCuH structure, computed with PBE-GGA.

a b c (Å): 4.0769 6.4324 7.8938
angles (deg): 104.75 90.00 90.00
Fractional positions:
La (0.7500, 0.7664, 0.5866)
La (0.7500, 0.7558, 0.0388)
La (0.2500, 0.2336, 0.4134)
La (0.2500, 0.2442, 0.9612)
Co (0.2500, 0.5783, 0.7659)
Co (0.7500, 0.4217, 0.2341)
Cu (0.2500, 0.6558, 0.2918)
Cu (0.7500, 0.3442, 0.7082)
H (0.2500, 0.8388, 0.8427)
H (0.7500, 0.1612, 0.1573)

Values from the calculation:
For the density of states at the Fermi level, the calculation gives 7.73 states/eV/cell. As for the polymorph energy (0 for the lowest one): 0 kJ/mol of formula units. For the total moment, the calculation gives 0.0 μB per formula unit. As for the symmetry: P2_1/m, No. 11.

(4)
A geometry-optimized RbTl5Cd2 structure, computed with PBE-GGA.

a b c (Å): 4.9505 7.9356 7.9356
angles (deg): 66.48 71.83 71.83
Fractional positions:
Rb (0.0000, 0.0000, 0.0000)
Tl (0.0000, 0.5000, 0.5000)
Tl (0.6375, 0.5557, 0.1693)
Tl (0.3625, 0.4443, 0.8307)
Tl (0.3625, 0.8307, 0.4443)
Tl (0.6375, 0.1693, 0.5557)
Cd (0.7523, 0.7477, 0.7477)
Cd (0.2477, 0.2523, 0.2523)

Values from the calculation:
For the density of states at the Fermi level, the calculation gives 3.88 states/eV/cell. For the energy relative to the elements, the calculation gives -14 kJ/mol of formula units. For the total moment, the calculation gives 0.0 μB per formula unit. As for the symmetry: Immm, No. 71.

(5)
A geometry-optimized PmSnPb2 structure, computed with PBE-GGA.

a b c (Å): 4.2131 4.2131 6.6306
angles (deg): 90.00 90.00 90.00
Fractional positions:
Pb (0.0000, 0.0000, 0.7549)
Pb (0.0000, 0.0000, 0.2451)
Sn (0.5000, 0.5000, 0.0000)
Pm (0.5000, 0.5000, 0.5000)

Values from the calculation:
For the density of states at the Fermi level, the calculation gives 2.90 states/eV/cell. For the energy relative to the elements, the calculation gives -104 kJ/mol of formula units. As for the polymorph energy (0 for the lowest one): 48 kJ/mol of formula units. For the total moment, the calculation gives 0.0 μB per formula unit. As for the symmetry: P4/mmm, No. 123.

(6)
A geometry-optimized Li2ThGa2 structure, computed with PBE-GGA.

a b c (Å): 4.2587 4.1512 12.3394
angles (deg): 99.68 99.94 90.00
Fractional positions:
Li (0.5470, 0.2970, 0.0940)
Li (0.9497, 0.1997, 0.8994)
Li (0.4530, 0.7030, 0.9060)
Li (0.0503, 0.8003, 0.1006)
Th (0.8272, 0.5772, 0.6544)
Th (0.1728, 0.4228, 0.3456)
Ga (0.7224, 0.9724, 0.4449)
Ga (0.2776, 0.0276, 0.5551)
Ga (0.3827, 0.1327, 0.7653)
Ga (0.6173, 0.8673, 0.2347)

Values from the calculation:
For the density of states at the Fermi level, the calculation gives 5.75 states/eV/cell. For the energy relative to the elements, the calculation gives -167 kJ/mol of formula units. As for the polymorph energy (0 for the lowest one): 0 kJ/mol of formula units. For the total moment, the calculation gives 0.0 μB per formula unit. As for the symmetry: Imma, No. 74.

(7)
A geometry-optimized Dy2Hg5Pb structure, computed with PBE-GGA.

a b c (Å): 4.5224 6.6345 13.2813
angles (deg): 90.00 90.00 90.00
Fractional positions:
Dy (0.5000, 0.2365, 0.6226)
Dy (0.5000, 0.7635, 0.3774)
Dy (0.5000, 0.2635, 0.1226)
Dy (0.5000, 0.7365, 0.8774)
Hg (0.0000, 0.0000, 0.0000)
Hg (0.0000, 0.5000, 0.5000)
Hg (0.0000, 0.4787, 0.7479)
Hg (0.0000, 0.5213, 0.2521)
Hg (0.0000, 0.0213, 0.2479)
Hg (0.0000, 0.9787, 0.7521)
Hg (0.5000, 0.2326, 0.8693)
Hg (0.5000, 0.7674, 0.1307)
Hg (0.5000, 0.2674, 0.3693)
Hg (0.5000, 0.7326, 0.6307)
Pb (0.0000, 0.0000, 0.5000)
Pb (0.0000, 0.5000, 0.0000)

Values from the calculation:
For the density of states at the Fermi level, the calculation gives 10.99 states/eV/cell. For the energy relative to the elements, the calculation gives -251 kJ/mol of formula units. For the total moment, the calculation gives 0.0 μB per formula unit. As for the symmetry: Pbam, No. 55.

(8)
A geometry-optimized SrSn2P2Pd7 structure, computed with PBE-GGA.

a b c (Å): 4.4636 4.4636 11.6387
angles (deg): 88.45 88.45 86.26
Fractional positions:
Sr (0.0000, 0.0000, 0.0000)
Sn (0.8449, 0.8449, 0.3941)
Sn (0.1551, 0.1551, 0.6059)
P (0.6406, 0.6406, 0.8166)
P (0.3594, 0.3594, 0.1834)
Pd (0.5000, 0.5000, 0.0000)
Pd (0.3589, 0.3589, 0.4054)
Pd (0.6411, 0.6411, 0.5946)
Pd (0.8580, 0.3552, 0.2506)
Pd (0.3552, 0.8580, 0.2506)
Pd (0.6448, 0.1420, 0.7494)
Pd (0.1420, 0.6448, 0.7494)

Values from the calculation:
For the density of states at the Fermi level, the calculation gives 4.43 states/eV/cell. For the energy relative to the elements, the calculation gives -656 kJ/mol of formula units. For the total moment, the calculation gives 0.0 μB per formula unit. As for the symmetry: C2/m, No. 12.